Density functional theory data (PBE) for crystalline NaGe2Se2 at its relaxed geometry.

Values from the calculation:
* volume: 230.29 Å³/cell
* crystal system: tetragonal
* distance to the lowest polymorph of the same formula: 0.1171 eV per atom
* uncorrected formation energy: -0.9 eV/f.u.
* total energy: -36.821 eV per cell
* M_tot: 0.00 μB/f.u.

a b c (Å): 3.979 3.979 14.545
angles (deg): 90.00 90.00 90.00
Space group I4/mmm (No. 139)
Inequivalent atoms, fractional coordinates:
Na  0.000  0.000  0.000
Ge  0.000  0.500  0.250
Se  0.000  0.000  0.407